Record 1
A plane-wave DFT calculation with PBE-GGA was carried out for an optimized crystal structure of Sr2MgF6.

Values from the calculation:
Magnetization, μB/atom: 0.0000
DFT total energy, hartree per atom: -0.20423
Energy above the lowest structure with this stoichiometry, eV/atom: 0.000
Energy relative to the elements, uncorrected, meV/atom: -3759
Symmetry: P2_1/c

abc: 5.6088 6.4332 7.7941
angles: 90.00 94.53 90.00
Closest atoms and distances in Å follow each position.
Positions (direct):
Sr (0.5328, 0.9035, 0.7547)  7 F 2.44-2.72
Sr (0.9672, 0.4035, 0.7453)  7 F 2.44-2.72
Sr (0.0328, 0.5965, 0.2547)  7 F 2.44-2.72
Sr (0.4672, 0.0965, 0.2453)  7 F 2.44-2.72
F (0.8630, 0.7208, 0.5672)  1 Mg 2.04
F (0.3630, 0.7792, 0.0672)  1 Mg 2.04
F (0.8693, 0.9486, 0.2623)  1 Mg 1.97
F (0.2972, 0.8534, 0.4471)  1 Mg 1.99
F (0.7028, 0.1466, 0.5529)  1 Mg 1.99
F (0.1370, 0.2792, 0.4328)  1 Mg 2.04
F (0.2028, 0.3534, 0.0529)  1 Mg 1.99
F (0.6307, 0.4486, 0.2377)  1 Mg 1.97
F (0.6370, 0.2208, 0.9328)  1 Mg 2.04
F (0.1307, 0.0514, 0.7377)  1 Mg 1.97
F (0.7972, 0.6466, 0.9471)  1 Mg 1.99
F (0.3693, 0.5514, 0.7623)  1 Mg 1.97
Mg (0.0000, 0.0000, 0.5000)  6 F 1.97-2.04
Mg (0.5000, 0.5000, 0.0000)  6 F 1.97-2.04

=====

Record 2
A plane-wave DFT calculation with PBE-GGA was carried out for an optimized crystal structure of SrMg2F.

Values from the calculation:
Magnetization, μB/atom: 0.0000
DFT total energy, hartree per atom: -0.07489
Energy above the lowest structure with this stoichiometry, eV/atom: 0.679
Energy relative to the elements, uncorrected, meV/atom: -352
Symmetry: Fm-3m

abc: 5.4849 5.4849 5.4849
angles: 60.00 60.00 60.00
Closest atoms and distances in Å follow each position.
Positions (direct):
Mg (0.2500, 0.2500, 0.2500)  4 Sr 3.36, 4 F 3.36
Mg (0.7500, 0.7500, 0.7500)  4 F 3.36, 4 Sr 3.36
Sr (0.5000, 0.5000, 0.5000)  8 Mg 3.36
F (0.0000, 0.0000, 0.0000)  8 Mg 3.36

=====

Record 3
A plane-wave DFT calculation with PBE-GGA was carried out for an optimized crystal structure of SrMgF4.

Values from the calculation:
Magnetization, μB/atom: 0.0069
DFT total energy, hartree per atom: -0.20128
Energy relative to the elements, uncorrected, meV/atom: -3683
Symmetry: P2_1/c

abc: 5.5797 5.4893 5.5058
angles: 95.79 90.00 90.00
Closest atoms and distances in Å follow each position.
Positions (direct):
F (0.8597, 0.1052, 0.3127)  1 Mg 1.93
F (0.1403, 0.8948, 0.6873)  1 Mg 1.93
F (0.6403, 0.6052, 0.3127)  1 Mg 1.93
F (0.2046, 0.7270, 0.1437)  2 Mg 2.10-2.17
F (0.7954, 0.2730, 0.8563)  2 Mg 2.10-2.17
F (0.3597, 0.3948, 0.6873)  1 Mg 1.93
F (0.7046, 0.7730, 0.8563)  2 Mg 2.10-2.17
F (0.2954, 0.2270, 0.1437)  2 Mg 2.10-2.17
Sr (0.5000, 0.0000, 0.5000)  4 F 2.35-2.43
Sr (0.0000, 0.5000, 0.5000)  4 F 2.35-2.43
Mg (0.0000, 0.0000, 0.0000)  4 F 1.93-2.10
Mg (0.5000, 0.5000, 0.0000)  4 F 1.93-2.10

=====

Record 4
A plane-wave DFT calculation with PBE-GGA was carried out for an optimized crystal structure of SrMgF4.

Values from the calculation:
Magnetization, μB/atom: 0.0000
DFT total energy, hartree per atom: -0.20292
Energy relative to the elements, uncorrected, meV/atom: -3728
Symmetry: Cmc2_1

abc: 3.9781 5.6981 7.6299
angles: 90.00 105.11 90.00
Closest atoms and distances in Å follow each position.
Positions (direct):
Sr (0.3404, 0.8639, 0.6807)  6 F 2.48-2.64
Sr (0.6596, 0.3639, 0.3193)  6 F 2.48-2.64
Mg (0.9165, 0.3108, 0.8328)  6 F 1.97-2.05
Mg (0.0835, 0.8108, 0.1672)  6 F 1.97-2.05
F (0.8403, 0.5963, 0.6801)  1 Mg 1.98
F (0.0342, 0.4748, 0.0681)  2 Mg 1.97-2.05
F (0.1597, 0.0963, 0.3199)  1 Mg 1.98
F (0.7987, 0.1191, 0.5974)  1 Mg 2.05
F (0.4148, 0.2856, 0.8294)  2 Mg 1.99
F (0.2013, 0.6192, 0.4026)  1 Mg 2.05
F (0.5852, 0.7856, 0.1706)  2 Mg 1.99
F (0.9658, 0.9748, 0.9319)  2 Mg 1.97-2.05